A relaxed structure of Np2UP, computed with PBE.

a b c (Å): 3.371 3.371 26.083
angles (deg): 90.00 90.00 120.00
Sites, in units of the cell vectors:
Np (0.000, 0.000, 0.095)
Np (0.000, 0.000, 0.905)
Np (0.333, 0.667, 0.571)
Np (0.333, 0.667, 0.762)
Np (0.667, 0.333, 0.238)
Np (0.667, 0.333, 0.429)
U (0.000, 0.000, 0.000)
U (0.333, 0.667, 0.667)
U (0.667, 0.333, 0.333)
P (0.000, 0.000, 0.500)
P (0.333, 0.667, 0.167)
P (0.667, 0.333, 0.833)

Computed properties:
**Space-group type**: R-3m
**DFT formation energy**: 24.1 kJ/mol of atoms
**Mass density**: 14.42 g cm⁻³